1:
A plane-wave DFT calculation with PBE-GGA was carried out for crystalline SrCuBr2 at its relaxed geometry.

Values from the calculation:
* symmetry: P2/m (10)

Unit cell a=3.8202 b=4.1027 c=7.1210 alpha=90.00 beta=90.75 gamma=90.00
Fractional positions:
Sr 0.0000 0.0000 0.0000
Cu 0.5000 0.0000 0.5000
Br 0.4973 0.5000 0.7621
Br 0.5027 0.5000 0.2379

2:
A plane-wave DFT calculation with PBE-GGA was carried out for crystalline SrCuBr2 at its relaxed geometry.

Values from the calculation:
* symmetry: Cmm2 (35)

Unit cell a=3.8830 b=3.8830 c=7.8176 alpha=90.00 beta=90.00 gamma=90.32
Fractional positions:
Sr 0.0000 0.0000 0.0000
Cu 0.5000 0.5000 0.7213
Br 0.0000 0.0000 0.6242
Br 0.5000 0.5000 0.2037

Going by the energies, 2 is most stable and the next is 4.1 kJ/mol of atoms up.

1:
A plane-wave DFT calculation with PBE-GGA was carried out for crystalline SrCuBr2 at its relaxed geometry.

Values from the calculation:
* symmetry: I-4m2 (119)

Unit cell a=6.3871 b=6.3871 c=6.3871 alpha=140.25 beta=140.25 gamma=57.48
Fractional positions:
Sr 0.0000 0.0000 0.0000
Cu 0.7500 0.2500 0.5000
Br 0.2500 0.7500 0.5000
Br 0.5000 0.5000 0.0000

2:
A plane-wave DFT calculation with PBE-GGA was carried out for crystalline SrCuBr2 at its relaxed geometry.

Values from the calculation:
* symmetry: Pm (6)

Unit cell a=4.4198 b=4.2599 c=6.1599 alpha=90.00 beta=110.98 gamma=90.00
Fractional positions:
Sr 0.0000 0.0000 0.0000
Cu 0.0566 0.5000 0.3967
Br 0.4141 0.5000 0.8371
Br 0.6995 0.0000 0.3974

3:
A plane-wave DFT calculation with PBE-GGA was carried out for crystalline SrCuBr2 at its relaxed geometry.

Values from the calculation:
* symmetry: F-43m (216)

Unit cell a=5.3654 b=5.3654 c=5.3654 alpha=60.00 beta=60.00 gamma=60.00
Fractional positions:
Sr 0.0000 0.0000 0.0000
Cu 0.7500 0.7500 0.7500
Br 0.2500 0.2500 0.2500
Br 0.5000 0.5000 0.5000

Going by the energies, 2 is most stable and the next is 13.6 kJ/mol of atoms up.

1:
A plane-wave DFT calculation with PBE-GGA was carried out for crystalline SrCuBr3 at its relaxed geometry.

Values from the calculation:
* symmetry: Pna2_1 (33)

Unit cell a=7.9993 b=7.1358 c=10.4280 alpha=90.00 beta=90.00 gamma=90.00
Fractional positions:
Sr 0.1193 0.0610 0.0000
Sr 0.3807 0.5610 0.5000
Sr 0.6193 0.4390 0.0000
Sr 0.8807 0.9390 0.5000
Cu 0.1528 0.5914 0.1568
Cu 0.3472 0.0914 0.6568
Cu 0.6528 0.9086 0.1568
Cu 0.8472 0.4086 0.6568
Br 0.0485 0.3334 0.4987
Br 0.1740 0.8265 0.6866
Br 0.1786 0.8310 0.3207
Br 0.3214 0.3310 0.8207
Br 0.3260 0.3265 0.1866
Br 0.4515 0.8334 0.9987
Br 0.5485 0.1666 0.4987
Br 0.6740 0.6735 0.6866
Br 0.6786 0.6690 0.3207
Br 0.8214 0.1690 0.8207
Br 0.8260 0.1735 0.1866
Br 0.9515 0.6666 0.9987

2:
A plane-wave DFT calculation with PBE-GGA was carried out for crystalline SrCuBr3 at its relaxed geometry.

Values from the calculation:
* symmetry: Pm-3m (221)

Unit cell a=5.8570 b=5.8570 c=5.8570 alpha=90.00 beta=90.00 gamma=90.00
Fractional positions:
Sr 0.0000 0.0000 0.0000
Cu 0.5000 0.5000 0.5000
Br 0.0000 0.0000 0.5000
Br 0.0000 0.5000 0.0000
Br 0.5000 0.0000 0.0000

3:
A plane-wave DFT calculation with PBE-GGA was carried out for crystalline SrCuBr3 at its relaxed geometry.

Values from the calculation:
* symmetry: Cm (8)

Unit cell a=8.1706 b=8.1706 c=4.6326 alpha=90.72 beta=90.72 gamma=71.76
Fractional positions:
Sr 0.0000 0.0000 0.0000
Sr 0.5254 0.5254 0.4889
Cu 0.0780 0.4470 0.2454
Cu 0.4470 0.0780 0.2454
Br 0.0937 0.7085 0.4860
Br 0.1586 0.1586 0.4963
Br 0.3668 0.3668 0.9930
Br 0.4319 0.8170 0.0027
Br 0.7085 0.0937 0.4860
Br 0.8170 0.4319 0.0027

Going by the energies, 1 is most stable and the next is 2.5 kJ/mol of atoms up.

1:
A plane-wave DFT calculation with PBE-GGA was carried out for crystalline TaCu2Br at its relaxed geometry.

Values from the calculation:
* symmetry: Cmmm (65)

Unit cell a=2.9889 b=2.9889 c=8.2433 alpha=90.00 beta=90.00 gamma=111.28
Fractional positions:
Ta 0.0000 0.0000 0.0000
Cu 0.5000 0.5000 0.2456
Cu 0.5000 0.5000 0.7544
Br 0.0000 0.0000 0.5000

2:
A plane-wave DFT calculation with PBE-GGA was carried out for crystalline TaCu2Br at its relaxed geometry.

Values from the calculation:
* symmetry: I-42d (122)

Unit cell a=5.7535 b=5.7535 c=5.7535 alpha=101.34 beta=101.34 gamma=127.35
Fractional positions:
Ta 0.0000 0.0000 0.0000
Ta 0.7500 0.2500 0.5000
Cu 0.1258 0.1250 0.5008
Cu 0.3750 0.8742 0.9992
Cu 0.6242 0.6250 0.4992
Cu 0.8750 0.3758 0.0008
Br 0.2500 0.7500 0.5000
Br 0.5000 0.5000 0.0000

3:
A plane-wave DFT calculation with PBE-GGA was carried out for crystalline TaCu2Br at its relaxed geometry.

Values from the calculation:
* symmetry: Fm-3m (225)

Unit cell a=4.5704 b=4.5704 c=4.5704 alpha=60.00 beta=60.00 gamma=60.00
Fractional positions:
Ta 0.0000 0.0000 0.0000
Cu 0.2500 0.2500 0.2500
Cu 0.7500 0.7500 0.7500
Br 0.5000 0.5000 0.5000

4:
A plane-wave DFT calculation with PBE-GGA was carried out for crystalline TaCu2Br at its relaxed geometry.

Values from the calculation:
* symmetry: Cm (8)

Unit cell a=4.6137 b=4.6137 c=5.0833 alpha=101.51 beta=101.51 gamma=38.15
Fractional positions:
Ta 0.0000 0.0000 0.0000
Cu 0.4914 0.4914 0.4534
Cu 0.7524 0.7524 0.2982
Br 0.2529 0.2529 0.7872

Going by the energies, 1 is most stable and the next is 5.9 kJ/mol of atoms up.

1:
A plane-wave DFT calculation with PBE-GGA was carried out for crystalline TbCu2Br6 at its relaxed geometry.

Values from the calculation:
* symmetry: C2/c (15)

Unit cell a=9.5797 b=9.5797 c=6.9034 alpha=96.01 beta=96.01 gamma=79.14
Fractional positions:
Tb 0.0975 0.9025 0.7500
Tb 0.9025 0.0975 0.2500
Cu 0.3124 0.4572 0.7251
Cu 0.4572 0.3124 0.2251
Cu 0.5428 0.6876 0.7749
Cu 0.6876 0.5428 0.2749
Br 0.0402 0.1797 0.6118
Br 0.1308 0.6240 0.8697
Br 0.1797 0.0402 0.1118
Br 0.2846 0.4718 0.3832
Br 0.3760 0.8692 0.6303
Br 0.4718 0.2846 0.8832
Br 0.5282 0.7154 0.1168
Br 0.6240 0.1308 0.3697
Br 0.7154 0.5282 0.6168
Br 0.8203 0.9598 0.8882
Br 0.8692 0.3760 0.1303
Br 0.9598 0.8203 0.3882

2:
A plane-wave DFT calculation with PBE-GGA was carried out for crystalline TbCu2Br6 at its relaxed geometry.

Values from the calculation:
* symmetry: C2/c (15)

Unit cell a=9.9945 b=9.9945 c=7.0720 alpha=107.85 beta=107.85 gamma=80.67
Fractional positions:
Tb 0.0883 0.9117 0.7500
Tb 0.9117 0.0883 0.2500
Cu 0.3433 0.5232 0.8404
Cu 0.4768 0.6567 0.6596
Cu 0.5232 0.3433 0.3404
Cu 0.6567 0.4768 0.1596
Br 0.0534 0.1817 0.6728
Br 0.1187 0.6492 0.8369
Br 0.1817 0.0534 0.1728
Br 0.3222 0.4563 0.4623
Br 0.3508 0.8813 0.6631
Br 0.4563 0.3222 0.9623
Br 0.5437 0.6778 0.0377
Br 0.6492 0.1187 0.3369
Br 0.6778 0.5437 0.5377
Br 0.8183 0.9466 0.8272
Br 0.8813 0.3508 0.1631
Br 0.9466 0.8183 0.3272

Going by the energies, 2 is most stable and the next is 1.3 kJ/mol of atoms up.

1:
A plane-wave DFT calculation with PBE-GGA was carried out for crystalline CuTcBr2 at its relaxed geometry.

Values from the calculation:
* symmetry: C2/m (12)

Unit cell a=5.2341 b=5.2341 c=3.3989 alpha=94.14 beta=94.14 gamma=100.93
Fractional positions:
Cu 0.0000 0.0000 0.0000
Tc 0.5000 0.5000 0.0000
Br 0.0000 0.5000 0.0000
Br 0.5000 0.0000 0.0000

2:
A plane-wave DFT calculation with PBE-GGA was carried out for crystalline CuTcBr2 at its relaxed geometry.

Values from the calculation:
* symmetry: Cmm2 (35)

Unit cell a=3.4005 b=3.4005 c=8.1312 alpha=90.00 beta=90.00 gamma=106.48
Fractional positions:
Cu 0.0000 0.0000 0.0000
Tc 0.5000 0.5000 0.8212
Br 0.0000 0.0000 0.6072
Br 0.5000 0.5000 0.1640

Going by the energies, 2 is most stable and the next is 27.0 kJ/mol of atoms up.

1:
A plane-wave DFT calculation with PBE-GGA was carried out for crystalline CuTcBr2 at its relaxed geometry.

Values from the calculation:
* symmetry: P4mm (99)

Unit cell a=3.2443 b=3.2443 c=7.7419 alpha=90.00 beta=90.00 gamma=90.00
Fractional positions:
Cu 0.0000 0.0000 0.0000
Tc 0.5000 0.5000 0.1906
Br 0.0000 0.0000 0.3765
Br 0.5000 0.5000 0.8285

2:
A plane-wave DFT calculation with PBE-GGA was carried out for crystalline CuTcBr2 at its relaxed geometry.

Values from the calculation:
* symmetry: P2/m (10)

Unit cell a=3.4885 b=4.0454 c=5.8141 alpha=90.00 beta=94.43 gamma=90.00
Fractional positions:
Cu 0.0000 0.0000 0.0000
Tc 0.0000 0.0000 0.5000
Br 0.2459 0.5000 0.7442
Br 0.7541 0.5000 0.2558

3:
A plane-wave DFT calculation with PBE-GGA was carried out for crystalline CuTcBr2 at its relaxed geometry.

Values from the calculation:
* symmetry: R-3m (166)

Unit cell a=8.0869 b=8.0869 c=8.0869 alpha=23.49 beta=23.49 gamma=23.49
Fractional positions:
Cu 0.0000 0.0000 0.0000
Tc 0.5000 0.5000 0.5000
Br 0.2453 0.2453 0.2453
Br 0.7547 0.7547 0.7547

4:
A plane-wave DFT calculation with PBE-GGA was carried out for crystalline CuTcBr2 at its relaxed geometry.

Values from the calculation:
* symmetry: Pmmm (47)

Unit cell a=3.4168 b=4.0614 c=6.3538 alpha=90.00 beta=90.00 gamma=90.00
Fractional positions:
Cu 0.0000 0.0000 0.0000
Tc 0.5000 0.0000 0.5000
Br 0.0000 0.5000 0.5000
Br 0.5000 0.5000 0.0000

Going by the energies, 1 is most stable and the next is 16.7 kJ/mol of atoms up.

1:
A plane-wave DFT calculation with PBE-GGA was carried out for crystalline CuTcBr2 at its relaxed geometry.

Values from the calculation:
* symmetry: I-4m2 (119)

Unit cell a=6.8922 b=6.8922 c=6.8922 alpha=148.49 beta=148.49 gamma=45.17
Fractional positions:
Cu 0.0000 0.0000 0.0000
Tc 0.2500 0.7500 0.5000
Br 0.5000 0.5000 0.0000
Br 0.7500 0.2500 0.5000

2:
A plane-wave DFT calculation with PBE-GGA was carried out for crystalline CuTcBr2 at its relaxed geometry.

Values from the calculation:
* symmetry: Cmmm (65)

Unit cell a=3.3963 b=3.3963 c=8.1277 alpha=90.00 beta=90.00 gamma=124.07
Fractional positions:
Cu 0.0000 0.0000 0.0000
Tc 0.0000 0.0000 0.5000
Br 0.5000 0.5000 0.2502
Br 0.5000 0.5000 0.7498

Going by the energies, 2 is most stable and the next is 4.6 kJ/mol of atoms up.